1.
DFT (PBE) results for an optimized crystal structure of KMnCl3.

a b c (Å): 7.0198 6.7467 8.2583
angles (deg): 90.00 115.15 90.00
Last column: nearest neighbours and their distance in Å.
Fractional positions:
K (0.6558, 0.2500, 0.3115)  4 Cl 3.05-3.22
K (0.3442, 0.7500, 0.6885)  4 Cl 3.05-3.22
Mn (0.9183, 0.2500, 0.8366)  4 Cl 2.30-2.44
Mn (0.0817, 0.7500, 0.1634)  4 Cl 2.30-2.44
Cl (0.6023, 0.3992, 0.6607)  1 Mn 2.30
Cl (0.9416, 0.6008, 0.3393)  1 Mn 2.30
Cl (0.8201, 0.0000, 0.0000)  2 Mn 2.44
Cl (0.0584, 0.1008, 0.6607)  1 Mn 2.30
Cl (0.1799, 0.5000, 0.0000)  2 Mn 2.44
Cl (0.3977, 0.8992, 0.3393)  1 Mn 2.30

Its crystal system is orthorhombic. The calculation puts the uncorrected formation energy at -32.848 kcal/mol of atoms.


2.
DFT (PBE) results for an optimized crystal structure of ErCdGe.

a b c (Å): 3.8892 4.1616 8.7895
angles (deg): 76.31 90.00 90.00
Last column: nearest neighbours and their distance in Å.
Fractional positions:
Ge (0.7500, 0.4474, 0.1052)  2 Ge 2.65, 1 Cd 2.84, 4 Er 2.91
Ge (0.2500, 0.5526, 0.8948)  2 Ge 2.65, 1 Cd 2.84, 4 Er 2.91
Cd (0.7500, 0.2810, 0.4381)  1 Ge 2.84, 4 Cd 3.04
Cd (0.2500, 0.7190, 0.5619)  1 Ge 2.84, 4 Cd 3.04
Er (0.7500, 0.0889, 0.8221)  6 Ge 2.91-3.19
Er (0.2500, 0.9111, 0.1779)  6 Ge 2.91-3.19

Its crystal system is orthorhombic. The calculated total energy comes out at -0.28185 Ry per atom.


3.
DFT (PBE) results for an optimized crystal structure of EuLuAl2.

a b c (Å): 3.5099 3.5099 9.9058
angles (deg): 79.80 79.80 60.00
Last column: nearest neighbours and their distance in Å.
Fractional positions:
Eu (0.5000, 0.5000, 0.5000)  6 Al 3.25, 6 Eu 3.51
Lu (0.0000, 0.0000, 0.0000)  6 Al 3.07
Al (0.7460, 0.7460, 0.7620)  3 Lu 3.07, 3 Eu 3.25
Al (0.2540, 0.2540, 0.2380)  3 Lu 3.07, 3 Eu 3.25

Its crystal system is trigonal. For the polymorph energy (0 for the lowest one), the calculation gives 260 meV per atom.